[1]
The following is a DFT calculation (PBE-GGA) of InCuHg2 after structural relaxation.

The value obtained for the formation energy is 0.130 eV/atom. As for the total energy: -1.729 eV/atom. For the calculated density, the calculation gives 10.9 g/cm3. For the size of the total moment, the calculation gives 0.00 μB/atom.

It has space group Pmm2 (No. 25), with a = 3.1173 Å, b = 3.3309 Å, c = 8.4977 Å, α = 90.00°, β = 90.00° and γ = 90.00°. The distinct sites, in fractional coordinates, are In at (0.0000, 0.0000, 0.0000), Cu at (0.5000, 0.5000, 0.7999), Hg at (0.0000, 0.0000, 0.5982) and Hg at (0.5000, 0.5000, 0.3007).

---

[2]
The following is a DFT calculation (PBE-GGA) of CeZrPaTi after structural relaxation.

The value obtained for the formation energy is 0.312 eV/atom. As for the total energy: -7.656 eV/atom. For the calculated density, the calculation gives 8.9 g/cm3. For the size of the total moment, the calculation gives 0.62 μB/atom.

It has space group F-43m (No. 216), with a = 7.2558 Å, b = 7.2558 Å, c = 7.2558 Å, α = 90.00°, β = 90.00° and γ = 90.00°. The distinct sites, in fractional coordinates, are Ce at (0.0000, 0.0000, 0.0000), Zr at (0.2500, 0.2500, 0.2500), Pa at (0.0000, 0.0000, 0.5000) and Ti at (0.2500, 0.2500, 0.7500).

---

[3]
The following is a DFT calculation (PBE-GGA) of AlHg2Bi2 after structural relaxation.

The value obtained for the formation energy is 0.192 eV/atom. As for the total energy: -2.229 eV/atom. For the calculated density, the calculation gives 9.5 g/cm3. For the size of the total moment, the calculation gives 0.00 μB/atom. Its energy above the most stable polymorph in this dataset is 0.0 meV/atom.

It has space group I4/mmm (No. 139), with a = 4.0439 Å, b = 4.0439 Å, c = 18.0055 Å, α = 90.00°, β = 90.00° and γ = 90.00°. The distinct sites, in fractional coordinates, are Al at (0.0000, 0.0000, 0.0000), Hg at (0.0000, 0.5000, 0.2500) and Bi at (0.0000, 0.0000, 0.4155).

---

Question: What is the formula in the first record?
Answer: InCuHg2